1.
# MgP2Pt, relaxed, DFT GGA-PBE
data_MgP2Pt
_symmetry_space_group_name_H-M 'C 1 m 1'
_symmetry_Int_Tables_number 8
_cell_length_a 8.6302
_cell_length_b 3.4812
_cell_length_c 4.5690
_cell_angle_alpha 90.00
_cell_angle_beta 107.73
_cell_angle_gamma 90.00
loop_
_symmetry_equiv_pos_as_xyz
'x,y,z'
'x,-y,z'
'x+1/2,y+1/2,z'
'x+1/2,-y+1/2,z'
loop_
_atom_site_label
_atom_site_type_symbol
_atom_site_fract_x
_atom_site_fract_y
_atom_site_fract_z
Mg1 Mg 0.0000 0.0000 0.0000
P1 P 0.0038 0.5000 0.5276
P2 P 0.2600 0.5000 0.2389
Pt1 Pt 0.2303 0.0000 0.6079
# Energy of formation from the pure elements ... -0.1631 eV/atom

2.
# MgP2Pt, relaxed, DFT GGA-PBE
data_MgP2Pt
_symmetry_space_group_name_H-M 'C m m m'
_symmetry_Int_Tables_number 65
_symmetry_space_group_name_Hall '-C 2 2'
_cell_length_a 3.8319
_cell_length_b 5.0613
_cell_length_c 6.8381
_cell_angle_alpha 90.00
_cell_angle_beta 90.00
_cell_angle_gamma 90.00
loop_
_atom_site_label
_atom_site_type_symbol
_atom_site_fract_x
_atom_site_fract_y
_atom_site_fract_z
Mg1 Mg 0.0000 0.0000 0.0000
P1 P 0.0000 0.5000 0.2725
Pt1 Pt 0.0000 0.0000 0.5000
# Energy of formation from the pure elements ... 0.0036 eV/atom